No. 1
The following is a DFT calculation (PBE-GGA) of a relaxed structure of V3ZnFe.

Results
* energy of formation from the pure elements: 688 meV/atom
* SG: Pm-3m (221)
* excess energy over the best structure of this formula in the dataset: 0.000 eV per atom
* theoretical density: 5.76 g cm⁻³

Cell lengths 4.2920, 4.2920, 4.2920 Å; angles 90.00, 90.00, 90.00 degrees
Last column: nearest neighbours and their distance in Å.
Fractional coordinates of all 5 atoms:
Zn1 0.5000 0.5000 0.5000  12 V 3.03
V1 0.0000 0.5000 0.0000  2 Fe 2.15
V2 0.5000 0.0000 0.0000  2 Fe 2.15
V3 0.0000 0.0000 0.5000  2 Fe 2.15
Fe1 0.0000 0.0000 0.0000  6 V 2.15

---

No. 2
The following is a DFT calculation (PBE-GGA) of a relaxed structure of PuTlZnSe3.

Results
* energy relative to the elements, uncorrected: -0.930 eV/atom
* SG: P2_1/m (11)
* theoretical density: 7.00 g cm⁻³

Cell lengths 4.1748, 9.1071, 9.7656 Å; angles 106.45, 90.00, 90.00 degrees
Last column: nearest neighbours and their distance in Å.
Fractional coordinates of all 12 atoms:
Se1 0.2500 0.5383 0.8421  3 Pu 2.88
Zn1 0.2500 0.0835 0.6069  4 Se 2.47-2.55
Tl1 0.2500 0.2112 0.2200  5 Se 3.27-3.47
Pu1 0.2500 0.6753 0.1460  6 Se 2.88-3.03
Se2 0.2500 0.1065 0.8648  1 Zn 2.47
Se3 0.7500 0.1998 0.5311  3 Zn 2.54-2.55
Zn2 0.7500 0.9165 0.3931  4 Se 2.47-2.55
Tl2 0.7500 0.7888 0.7800  5 Se 3.27-3.47
Se4 0.2500 0.8002 0.4689  3 Zn 2.54-2.55
Se5 0.7500 0.4617 0.1579  3 Pu 2.88
Se6 0.7500 0.8935 0.1352  1 Zn 2.47
Pu2 0.7500 0.3247 0.8540  6 Se 2.88-3.03

---

No. 3
The following is a DFT calculation (PBE-GGA) of a relaxed structure of Tb2Dy3Y9.

Results
* energy of formation from the pure elements: 166 meV/atom
* SG: Imm2 (44)
* theoretical density: 5.82 g cm⁻³

Cell lengths 5.6616, 12.3777, 12.3773 Å; angles 59.72, 46.68, 46.68 degrees
Last column: nearest neighbours and their distance in Å.
Fractional coordinates of all 14 atoms:
Dy1 0.2543 0.9153 0.9153  2 Y 3.20, 4 Tb 3.43, 2 Dy 3.43
Y1 0.0659 0.7789 0.5105  5 Y 3.31-3.67, 1 Tb 3.48, 2 Dy 3.65
Tb1 0.5158 0.8617 0.1278  1 Tb 3.28, 6 Y 3.35-3.57, 4 Dy 3.41-3.61
Y2 0.5920 0.3125 0.9595  4 Y 3.30-3.67, 2 Tb 3.43, 1 Dy 3.62
Y3 0.3720 0.6197 0.1323  5 Y 3.20-3.55, 2 Dy 3.20-3.50, 2 Tb 3.57
Tb2 0.5158 0.1278 0.8617  1 Tb 3.28, 6 Y 3.35-3.57, 4 Dy 3.41-3.61
Y4 0.3721 0.1323 0.6197  5 Y 3.20-3.55, 2 Dy 3.20-3.50, 2 Tb 3.57
Dy2 0.1987 0.7671 0.7671  5 Y 3.36-3.65, 2 Tb 3.41, 2 Dy 3.43
Dy3 0.7807 0.2398 0.2398  11 Y 3.50-3.82, 2 Tb 3.61
Y5 0.9670 0.5110 0.5110  2 Dy 3.36-3.56, 10 Y 3.49-3.72
Y6 0.8540 0.2588 0.5052  4 Y 3.04-3.30, 1 Tb 3.35
Y7 0.8540 0.5052 0.2588  4 Y 3.04-3.30, 1 Tb 3.35
Y8 0.0659 0.5105 0.7789  5 Y 3.31-3.67, 1 Tb 3.48, 2 Dy 3.65
Y9 0.5919 0.9596 0.3125  4 Y 3.30-3.67, 2 Tb 3.43, 1 Dy 3.62

---

No. 4
The following is a DFT calculation (PBE-GGA) of a relaxed structure of Y2ErGa2.

Results
* energy of formation from the pure elements: -551 meV/atom
* SG: P4/mbm (127)
* excess energy over the best structure of this formula in the dataset: 0.000 eV per atom
* theoretical density: 6.38 g cm⁻³

Cell lengths 4.3021, 7.6581, 7.6581 Å; angles 90.00, 90.00, 90.00 degrees
Last column: nearest neighbours and their distance in Å.
Fractional coordinates of all 10 atoms:
Er1 0.0000 0.0000 0.0000  4 Ga 3.05
Y1 0.5000 0.6750 0.8250  6 Ga 3.09-3.15
Ga1 0.0000 0.1201 0.3799  1 Ga 2.60
Ga2 0.0000 0.6201 0.1201  1 Ga 2.60
Ga3 0.0000 0.8799 0.6201  1 Ga 2.60
Y2 0.5000 0.8250 0.3250  6 Ga 3.09-3.15
Ga4 0.0000 0.3799 0.8799  1 Ga 2.60
Y3 0.5000 0.3250 0.1750  6 Ga 3.09-3.15
Y4 0.5000 0.1750 0.6750  6 Ga 3.09-3.15
Er2 0.0000 0.5000 0.5000  4 Ga 3.05

---

No. 5
The following is a DFT calculation (PBE-GGA) of a relaxed structure of PmPrLu.

Results
* energy of formation from the pure elements: 74 meV/atom
* SG: P-6m2 (187)
* excess energy over the best structure of this formula in the dataset: 0.041 eV per atom
* theoretical density: 7.71 g cm⁻³

Cell lengths 3.5103, 5.7131, 5.7131 Å; angles 120.00, 90.00, 90.00 degrees
Last column: nearest neighbours and their distance in Å.
Fractional coordinates of all 3 atoms:
Pm1 0.1670 0.0000 0.0000  3 Lu 3.30, 2 Pm 3.51
Pr1 0.6667 0.6667 0.3333  2 Pr 3.51, 6 Lu 3.74, 6 Pm 3.74
Lu1 0.1662 0.3333 0.6667  3 Pm 3.30, 2 Lu 3.51

---

No. 6
The following is a DFT calculation (PBE-GGA) of a relaxed structure of Ag3SbSe3.

Results
* energy relative to the elements, uncorrected: -0.101 eV/atom
* SG: R-3 (148)
* excess energy over the best structure of this formula in the dataset: 0.000 eV per atom
* theoretical density: 6.56 g cm⁻³

Cell lengths 7.5052, 7.5052, 8.3044 Å; angles 63.14, 63.14, 60.00 degrees
Last column: nearest neighbours and their distance in Å.
Fractional coordinates of all 14 atoms:
Sb1 0.3311 0.3311 0.0067  6 Se 2.88-2.97
Se1 0.4111 0.0687 0.7827  4 Ag 2.67-2.90, 2 Sb 2.88-2.97
Ag1 0.1247 0.4811 0.6084  4 Se 2.67-2.90, 3 Ag 2.92-2.98
Ag2 0.8753 0.5189 0.3916  4 Se 2.67-2.90, 3 Ag 2.92-2.98
Ag3 0.5189 0.2141 0.3916  4 Se 2.67-2.90, 3 Ag 2.92-2.98
Ag4 0.2141 0.8753 0.3916  4 Se 2.67-2.90, 3 Ag 2.92-2.98
Se2 0.5889 0.9313 0.2173  4 Ag 2.67-2.90, 2 Sb 2.88-2.97
Se3 0.7374 0.4111 0.7827  4 Ag 2.67-2.90, 2 Sb 2.88-2.97
Sb2 0.6689 0.6689 0.9933  6 Se 2.88-2.97
Ag5 0.4811 0.7859 0.6084  4 Se 2.67-2.90, 3 Ag 2.92-2.98
Se4 0.0687 0.7374 0.7827  4 Ag 2.67-2.90, 2 Sb 2.88-2.97
Se5 0.2626 0.5889 0.2173  4 Ag 2.67-2.90, 2 Sb 2.88-2.97
Ag6 0.7859 0.1247 0.6084  4 Se 2.67-2.90, 3 Ag 2.92-2.98
Se6 0.9313 0.2626 0.2173  4 Ag 2.67-2.90, 2 Sb 2.88-2.97

---

No. 7
The following is a DFT calculation (PBE-GGA) of a relaxed structure of LaEu2Tl.

Results
* energy of formation from the pure elements: -151 meV/atom
* SG: P4/mmm (123)
* excess energy over the best structure of this formula in the dataset: 0.036 eV per atom
* theoretical density: 7.60 g cm⁻³

Cell lengths 3.9835, 3.9835, 8.9158 Å; angles 90.00, 90.00, 90.00 degrees
Last column: nearest neighbours and their distance in Å.
Fractional coordinates of all 4 atoms:
Eu1 0.0000 0.0000 0.2137  4 Tl 3.40, 4 La 3.80
La1 0.5000 0.5000 0.5000  8 Eu 3.80, 4 La 3.98
Tl1 0.5000 0.5000 0.0000  8 Eu 3.40
Eu2 0.0000 0.0000 0.7863  4 Tl 3.40, 4 La 3.80

---

No. 8
The following is a DFT calculation (PBE-GGA) of a relaxed structure of Pm3HoPb2.

Results
* energy of formation from the pure elements: -439 meV/atom
* SG: P-4m2 (115)
* excess energy over the best structure of this formula in the dataset: 0.000 eV per atom
* theoretical density: 8.89 g cm⁻³

Cell lengths 4.6384, 4.6384, 8.8031 Å; angles 90.00, 90.00, 90.00 degrees
Last column: nearest neighbours and their distance in Å.
Fractional coordinates of all 6 atoms:
Pb1 0.0000 0.5000 0.2819  7 Pm 3.28-3.40, 2 Ho 3.40
Pm1 0.0000 0.0000 0.0000  4 Ho 3.28, 4 Pb 3.40
Pm2 0.5000 0.0000 0.3450  5 Pb 3.28-3.33
Pm3 0.0000 0.5000 0.6550  5 Pb 3.28-3.33
Ho1 0.5000 0.5000 0.0000  4 Pm 3.28, 4 Pb 3.40
Pb2 0.5000 0.0000 0.7181  7 Pm 3.28-3.40, 2 Ho 3.40

---

No. 9
The following is a DFT calculation (PBE-GGA) of a relaxed structure of ZnCdAsBr2.

Results
* energy relative to the elements, uncorrected: 0.276 eV/atom
* SG: P4/mmm (123)
* excess energy over the best structure of this formula in the dataset: 0.173 eV per atom
* theoretical density: 4.17 g cm⁻³

Cell lengths 5.4730, 5.4730, 5.4806 Å; angles 90.00, 90.00, 90.00 degrees
Last column: nearest neighbours and their distance in Å.
Fractional coordinates of all 5 atoms:
Cd1 0.0000 0.0000 0.0000  4 Br 2.74, 2 As 2.74
Br1 0.0000 0.5000 0.0000  2 Cd 2.74
As1 0.0000 0.0000 0.5000  2 Cd 2.74
Zn1 0.5000 0.5000 0.5000  4 As 3.87, 8 Br 3.87
Br2 0.5000 0.0000 0.0000  2 Cd 2.74

---

No. 10
The following is a DFT calculation (PBE-GGA) of a relaxed structure of V4Ir.

Results
* energy of formation from the pure elements: 183 meV/atom
* SG: Pnnm (58)
* excess energy over the best structure of this formula in the dataset: 0.330 eV per atom
* theoretical density: 9.29 g cm⁻³

Cell lengths 4.4660, 5.2037, 6.0894 Å; angles 90.00, 90.00, 90.00 degrees
Last column: nearest neighbours and their distance in Å.
Fractional coordinates of all 10 atoms:
Ir1 0.5000 0.5000 0.5000  10 V 2.63-2.94
V1 0.5000 0.7331 0.0105  3 V 2.34-2.43
Ir2 0.0000 0.0000 0.0000  10 V 2.63-2.94
V2 0.5000 0.2669 0.9895  3 V 2.34-2.43
V3 0.0000 0.7669 0.5104  3 V 2.34-2.43
V4 0.0000 0.4723 0.8142  3 V 2.28-2.40
V5 0.5000 0.0277 0.3142  3 V 2.28-2.40
V6 0.0000 0.2331 0.4896  3 V 2.34-2.43
V7 0.5000 0.9723 0.6858  3 V 2.28-2.40
V8 0.0000 0.5277 0.1858  3 V 2.28-2.40

---

Number 1: raw total energy -33.7 eV per formula unit. Number 2: raw total energy -34.0 eV per formula unit. Number 3: raw total energy -78.9 eV per formula unit. Number 4: raw total energy -26.3 eV per formula unit. Number 5: raw total energy -13.8 eV per formula unit. Number 6: raw total energy -23.8 eV per formula unit. Number 7: raw total energy -28.4 eV per formula unit. Number 8: raw total energy -28.9 eV per formula unit. Number 9: raw total energy -8.8 eV per formula unit. Number 10: raw total energy -44.4 eV per formula unit.